(1)
ZrTcBH2 | PBE | relaxed

Cell and atoms, written as POSCAR:
```
ZrTcBH2
1.0
3.477 0.000 0.000
0.000 5.205 0.000
0.000 0.000 3.477
H B Tc Zr
2 1 1 1
Cartesian
0.000 0.000 1.738 H
1.738 0.000 0.000 H
1.738 2.602 1.738 B
0.000 0.000 0.000 Tc
0.000 2.602 0.000 Zr
```

**Density**: 5.33 g/cm³
**N(E_F)**: 0.492 states/eV/atom



(2)
PrLuRh | PBE | relaxed

Cell and atoms, written as POSCAR:
```
PrLuRh
1.0
-3.292 -3.459 3.874
1.807 -3.348 -1.453
1.631 1.986 3.159
Pr Lu Rh
1 1 1
Cartesian
-0.724 -4.168 2.994 Pr
0.924 -0.596 2.523 Lu
-0.054 -0.057 0.064 Rh
```

**Energy relative to the elements**: -470.3 meV per atom
**Density**: 7.87 g/cm³
**N(E_F)**: 0.926 states/eV/atom



(3)
NaReTe2W | PBE | relaxed

Cell and atoms, written as POSCAR:
```
NaReTe2W
1.0
-3.600 -3.370 -1.485
3.463 -2.234 -3.322
1.488 -3.231 3.724
Re Te W Na
1 2 1 1
Cartesian
0.000 0.000 0.000 Re
0.744 -1.616 1.862 Te
-1.800 -1.685 -0.743 Te
0.676 -4.418 -0.542 W
1.731 -1.117 -1.661 Na
```

**Density**: 7.67 g/cm³
**Formation energy (no corrections)**: 1719.2 meV/atom
**N(E_F)**: 1.015 states/eV/atom



(4)
Y2AlPt | PBE | relaxed

Cell and atoms, written as POSCAR:
```
Y2AlPt
1.0
4.393 0.000 0.000
0.000 3.867 0.014
0.000 1.922 5.537
Y Al Pt
2 1 1
Cartesian
0.000 5.547 5.079 Y
2.196 1.689 1.839 Y
0.000 3.620 2.705 Al
2.196 3.616 4.253 Pt
```

**Energy relative to the elements**: -844.4 meV per atom
**Density**: 7.07 g/cm³
**N(E_F)**: 0.843 states/eV/atom



(5)
HfAgSe2N | PBE | relaxed

Cell and atoms, written as POSCAR:
```
HfAgSe2N
1.0
5.033 0.000 0.000
0.000 5.033 0.000
0.000 0.000 3.922
Hf Se Ag N
1 2 1 1
Cartesian
2.516 2.516 1.961 Hf
0.000 2.516 0.000 Se
2.516 0.000 0.000 Se
0.000 0.000 0.000 Ag
0.000 0.000 1.961 N
```

**Density**: 7.66 g/cm³
**Formation energy (no corrections)**: 925.8 meV/atom
**N(E_F)**: 1.040 states/eV/atom



(6)
MgTlIn2 | PBE | relaxed

Cell and atoms, written as POSCAR:
```
MgTlIn2
1.0
5.695 0.001 0.094
4.733 3.167 0.094
1.066 0.324 5.847
Tl Mg In
1 1 2
Cartesian
2.825 0.858 1.566 Tl
5.721 1.738 3.027 Mg
1.085 0.330 5.795 In
8.676 2.636 4.511 In
```

**Energy relative to the elements**: -1.3 meV per atom
**Density**: 7.24 g/cm³
**N(E_F)**: 0.357 states/eV/atom



(7)
TbHo2Os | PBE | relaxed

Cell and atoms, written as POSCAR:
```
TbHo2Os
1.0
-1.083 3.156 0.762
-1.824 1.781 -2.283
-10.141 -2.492 3.595
Tb Os Ho
1 1 2
Cartesian
0.000 0.000 0.000 Tb
-6.524 1.223 1.036 Os
-7.241 -1.183 2.297 Ho
-5.808 3.628 -0.224 Ho
```

**Energy relative to the elements**: 260.1 meV per atom
**Density**: 10.23 g/cm³
**N(E_F)**: 1.680 states/eV/atom



(8)
Dy2ScP3 | PBE | relaxed

Cell and atoms, written as POSCAR:
```
Dy2ScP3
1.0
-0.883 0.910 3.729
-1.787 -3.483 0.428
8.508 -2.084 0.443
Dy Sc P
2 1 3
Cartesian
1.479 -0.690 0.508 Dy
2.561 -3.112 3.435 Dy
6.274 -2.945 2.192 Sc
4.939 -4.231 4.270 P
3.944 -1.848 1.374 P
0.096 -1.954 2.569 P
```

**Energy relative to the elements**: -1541.0 meV per atom
**Density**: 5.96 g/cm³
**N(E_F)**: 0.122 states/eV/atom



(9)
HfNb3Sn | PBE | relaxed

Cell and atoms, written as POSCAR:
```
HfNb3Sn
1.0
5.014 0.000 0.000
0.000 5.014 0.000
0.000 0.000 5.014
Nb Hf Sn
3 1 1
Cartesian
0.000 2.507 0.000 Nb
0.000 0.000 2.507 Nb
2.507 0.000 0.000 Nb
2.507 2.507 2.507 Hf
0.000 0.000 0.000 Sn
```

**Energy relative to the elements**: 1452.7 meV per atom
**Density**: 7.59 g/cm³
**N(E_F)**: 1.383 states/eV/atom



(10)
MnBe2Al | PBE | relaxed

Cell and atoms, written as POSCAR:
```
MnBe2Al
1.0
2.887 0.000 0.000
0.000 2.887 0.000
0.000 0.000 5.085
Be Mn Al
2 1 1
Cartesian
0.000 0.000 0.197 Be
0.000 0.000 2.346 Be
1.443 1.443 1.271 Mn
1.443 1.443 3.814 Al
```

**Energy relative to the elements**: -12.9 meV per atom
**Density**: 3.92 g/cm³
**N(E_F)**: 0.629 states/eV/atom



(11)
PmPrSm2Er | PBE | relaxed

Cell and atoms, written as POSCAR:
```
PmPrSm2Er
1.0
6.562 0.000 0.000
0.000 8.375 1.170
0.000 -1.334 6.144
Pm Pr Sm Er
2 2 4 2
Cartesian
3.700 -0.334 1.536 Pm
2.862 -1.001 4.608 Pm
0.000 0.000 0.000 Pr
0.000 -0.667 3.072 Pr
4.532 4.728 5.559 Sm
4.532 1.646 4.827 Sm
2.030 5.395 2.487 Sm
2.030 2.313 1.755 Sm
1.090 3.187 5.193 Er
5.472 3.854 2.121 Er
```

**Energy relative to the elements**: 276.5 meV per atom
**Density**: 7.20 g/cm³
**N(E_F)**: 1.310 states/eV/atom



(12)
HoAlOs | PBE | relaxed

Cell and atoms, written as POSCAR:
```
HoAlOs
1.0
4.674 0.035 -2.581
-3.051 4.377 -0.185
0.027 -0.035 5.339
Ho Al Os
2 2 2
Cartesian
0.839 0.485 3.956 Ho
0.811 3.892 -1.382 Ho
0.825 2.189 1.287 Al
-1.526 2.189 -0.092 Al
-1.512 2.171 2.577 Os
2.350 0.000 1.379 Os
```

**Energy relative to the elements**: -493.7 meV per atom
**Density**: 11.56 g/cm³
**N(E_F)**: 0.821 states/eV/atom



(13)
SrZrTaIr2 | PBE | relaxed

Cell and atoms, written as POSCAR:
```
SrZrTaIr2
1.0
-2.756 3.628 1.685
-3.377 -3.240 1.454
2.191 -0.344 4.323
Sr Ir Zr Ta
1 2 1 1
Cartesian
0.000 0.000 0.000 Sr
1.095 -0.172 2.161 Ir
-1.378 1.814 0.843 Ir
-1.971 0.022 3.731 Zr
-1.688 -1.620 0.727 Ta
```

**Energy relative to the elements**: 2251.3 meV per atom
**Density**: 10.68 g/cm³
**N(E_F)**: 1.648 states/eV/atom



(14)
KCaHg | PBE | relaxed

Cell and atoms, written as POSCAR:
```
KCaHg
1.0
-0.821 -4.499 -2.436
-1.546 -2.134 4.461
-8.497 2.499 -1.749
K Hg Ca
2 2 2
Cartesian
-8.179 1.110 0.706 K
-1.502 -1.928 -1.443 K
-3.213 -0.350 1.728 Hg
-6.468 -0.468 -2.465 Hg
-5.432 -2.067 0.138 Ca
-4.249 1.249 -0.875 Ca
```

**Energy relative to the elements**: -232.9 meV per atom
**Density**: 3.83 g/cm³
**N(E_F)**: 0.859 states/eV/atom



Raw total energy, respectively: -5.76; -6.02; -4.88; -6.52; -4.69; -2.36; -5.99; -6.84; -7.38; -5.10; -4.43; -7.01; -5.71; -1.37 eV per atom.
Size of the total moment, respectively: 0.94; 0.00; 4.55; 0.00; 0.00; 0.00; 0.02; 0.00; 0.00; 1.32; 0.00; 0.00; 0.46; 0.00 μB per formula unit.